No. 1
ZnGa2Au4 PBE relaxed; calculated total energy = -3.0540 eV/atom; magnetic moment = 0.000 μB/cell; energy of formation from the pure elements = -134.4 meV per atom
1.0
4.430 0.000 0.000
2.215 3.837 0.000
2.215 1.279 7.478
Au Zn Ga
4 1 2
Cartesian
4.430 2.558 0.952
4.430 2.558 6.526
6.645 3.837 2.800
2.215 1.279 4.678
0.000 0.000 0.000
6.645 3.837 5.440
2.215 1.279 2.038



No. 2
LaMn4Pb PBE relaxed; calculated total energy = -7.2234 eV/atom; magnetic moment = 10.348 μB/cell; energy of formation from the pure elements = 328.9 meV per atom
1.0
0.000 3.756 3.756
3.756 0.000 3.756
3.756 3.756 0.000
La Mn Pb
1 4 1
Cartesian
0.000 0.000 0.000
2.821 4.692 4.692
2.821 2.821 2.821
4.692 4.692 2.821
4.692 2.821 4.692
5.634 5.634 5.634